(1)
The following is a PBE calculation of a relaxed structure of Ba4BeTc, from Alexandria.

It has space group F-43m (No. 216), with a = 9.943 Å, b = 9.943 Å, c = 9.943 Å, α = 90.00°, β = 90.00° and γ = 90.00°. The inequivalent atoms are Ba at (0.125, 0.125, 0.125), Be at (0.250, 0.250, 0.750) and Tc at (0.000, 0.000, 0.500).

As for the crystal system: cubic. As for the energy relative to the elements: 1423 meV per atom. The density of states at the Fermi level is 1.3989 states/eV per atom. The value obtained for the total energy is -2.207 eV/atom.

(2)
The following is a PBE calculation of a relaxed structure of DyZrPb, from Alexandria.

It has space group C2/m (No. 12), with a = 6.161 Å, b = 6.161 Å, c = 8.984 Å, α = 90.00°, β = 110.02° and γ = 90.00°. The inequivalent atoms are Dy at (0.173, 0.000, 0.347), Zr at (0.250, 0.250, 0.000) and Pb at (0.135, 0.500, 0.271).

As for the crystal system: monoclinic. As for the energy relative to the elements: -368 meV per atom. The density of states at the Fermi level is 1.4290 states/eV per atom. The value obtained for the total energy is -5.987 eV/atom.

(3)
The following is a PBE calculation of a relaxed structure of La3MgSb4, from Alexandria.

It has space group Pm-3m (No. 221), with a = 6.478 Å, b = 6.478 Å, c = 6.478 Å, α = 90.00°, β = 90.00° and γ = 90.00°. The inequivalent atoms are La at (0.000, 0.000, 0.500), Mg at (0.500, 0.500, 0.500), Sb at (0.000, 0.000, 0.000) and Sb at (0.000, 0.500, 0.500).

The uncorrected formation energy comes out at -901 meV per atom. As for the crystal system: cubic. The density of states at the Fermi level is 0.6449 states/eV per atom. The value obtained for the total energy is -5.010 eV/atom.

no.,calculated density (Mg/m³)
1,4.43
2,9.56
3,5.67